Compound: AgTePb2
Source: Alexandria
Functional: PBEsol
Structure: optimized geometry

Unit cell a=3.8802 b=3.8802 c=6.9962 alpha=90.00 beta=90.00 gamma=90.00
With the nearest neighbours (Å) after each atom.
Fractional positions:
Ag (0.0000, 0.0000, 0.0000)  5 Pb 3.13-3.33, 4 Te 3.16
Te (0.5000, 0.5000, 0.7764)  5 Pb 3.06-3.26, 4 Ag 3.16
Pb (0.0000, 0.0000, 0.5234)  4 Te 3.26, 1 Ag 3.33, 4 Pb 3.49
Pb (0.5000, 0.5000, 0.2140)  1 Te 3.06, 4 Ag 3.13

The formation energy (no corrections) is 0.045 eV/atom. As for the crystal system: tetragonal.

---

Compound: AgTePb2
Source: Alexandria
Functional: PBEsol
Structure: optimized geometry

Unit cell a=4.1595 b=4.8992 c=5.2126 alpha=90.00 beta=90.00 gamma=90.00
With the nearest neighbours (Å) after each atom.
Fractional positions:
Ag (0.0000, 0.0000, 0.0000)  8 Pb 3.21-3.58, 4 Te 3.33
Te (0.5000, 0.0000, 0.5000)  8 Pb 3.21-3.58, 4 Ag 3.33
Pb (0.0000, 0.5000, 0.5000)  4 Te 3.21, 4 Pb 3.33, 4 Ag 3.58
Pb (0.5000, 0.5000, 0.0000)  4 Ag 3.21, 4 Pb 3.33, 4 Te 3.58

The formation energy (no corrections) is 0.109 eV/atom. As for the crystal system: orthorhombic.

---

Compound: AgTe2Pb
Source: Alexandria
Functional: PBEsol
Structure: optimized geometry

Unit cell a=4.3389 b=4.3389 c=6.0026 alpha=90.00 beta=90.00 gamma=90.00
With the nearest neighbours (Å) after each atom.
Fractional positions:
Ag (0.0000, 0.0000, 0.0000)  6 Te 3.00-3.07
Te (0.0000, 0.0000, 0.5000)  2 Ag 3.00, 4 Pb 3.07
Te (0.5000, 0.5000, 0.0000)  2 Pb 3.00, 4 Ag 3.07
Pb (0.5000, 0.5000, 0.5000)  6 Te 3.00-3.07

The formation energy (no corrections) is -0.067 eV/atom. As for the crystal system: tetragonal.

---

Compound: TmAgPb
Source: Alexandria
Functional: PBEsol
Structure: optimized geometry

Unit cell a=7.3165 b=7.3165 c=4.4646 alpha=90.00 beta=90.00 gamma=120.00
With the nearest neighbours (Å) after each atom.
Fractional positions:
Tm (0.0000, 0.5682, 0.0000)  5 Pb 3.11-3.16, 2 Ag 3.25
Tm (0.4318, 0.4318, 0.0000)  5 Pb 3.11-3.16, 2 Ag 3.25
Tm (0.5682, 0.0000, 0.0000)  5 Pb 3.11-3.16, 2 Ag 3.25
Ag (0.0000, 0.2447, 0.5000)  4 Pb 2.82-2.86, 2 Ag 3.10
Ag (0.2447, 0.0000, 0.5000)  4 Pb 2.82-2.86, 2 Ag 3.10
Ag (0.7553, 0.7553, 0.5000)  4 Pb 2.82-2.86, 2 Ag 3.10
Pb (0.0000, 0.0000, 0.0000)  6 Ag 2.86, 3 Tm 3.16
Pb (0.3333, 0.6667, 0.5000)  3 Ag 2.82, 6 Tm 3.11
Pb (0.6667, 0.3333, 0.5000)  3 Ag 2.82, 6 Tm 3.11

The calculation puts the total energy at -40.09 eV for the cell shown. As for the crystal system: hexagonal.

---

Compound: AgPb2W
Source: Alexandria
Functional: PBEsol
Structure: optimized geometry

Unit cell a=3.6096 b=4.9627 c=9.5684 alpha=90.00 beta=90.00 gamma=90.00
With the nearest neighbours (Å) after each atom.
Fractional positions:
Ag (0.0000, 0.0000, 0.0000)  4 Ag 3.07, 4 Pb 3.08
Ag (0.5000, 0.5000, 0.0000)  4 Ag 3.07, 4 Pb 3.08
Pb (0.0000, 0.5000, 0.2611)  2 W 2.91, 4 Pb 3.07, 2 Ag 3.08
Pb (0.0000, 0.5000, 0.7389)  2 W 2.91, 4 Pb 3.07, 2 Ag 3.08
Pb (0.5000, 0.0000, 0.2611)  2 W 2.91, 4 Pb 3.07, 2 Ag 3.08
Pb (0.5000, 0.0000, 0.7389)  2 W 2.91, 4 Pb 3.07, 2 Ag 3.08
W (0.0000, 0.0000, 0.5000)  4 Pb 2.91, 4 W 3.07
W (0.5000, 0.5000, 0.5000)  4 Pb 2.91, 4 W 3.07

The calculation puts the total energy at -44.02 eV for the cell shown. As for the crystal system: orthorhombic.

---

Compound: Ag2PbW
Source: Alexandria
Functional: PBEsol
Structure: optimized geometry

Unit cell a=5.6129 b=9.0511 c=2.8772 alpha=90.00 beta=92.99 gamma=90.00
With the nearest neighbours (Å) after each atom.
Fractional positions:
Ag (0.2500, 0.2500, 0.0000)  4 Ag 2.81-2.88, 4 W 2.99-3.06, 4 Pb 2.99-3.06
Ag (0.2500, 0.7500, 0.0000)  4 Ag 2.81-2.88, 4 W 2.99-3.06, 4 Pb 2.99-3.06
Ag (0.7500, 0.2500, 0.0000)  4 Ag 2.81-2.88, 4 W 2.99-3.06, 4 Pb 2.99-3.06
Ag (0.7500, 0.7500, 0.0000)  4 Ag 2.81-2.88, 4 W 2.99-3.06, 4 Pb 2.99-3.06
Pb (0.0000, 0.0000, 0.5000)  2 W 2.81, 2 Pb 2.88, 8 Ag 2.99-3.06
Pb (0.5000, 0.5000, 0.5000)  2 W 2.81, 2 Pb 2.88, 8 Ag 2.99-3.06
W (0.0000, 0.5000, 0.5000)  2 Pb 2.81, 2 W 2.88, 8 Ag 2.99-3.06
W (0.5000, 0.0000, 0.5000)  2 Pb 2.81, 2 W 2.88, 8 Ag 2.99-3.06

As for the crystal system: monoclinic. The value obtained for the energy above the most stable polymorph in this dataset is 0 meV/atom.

---

Number 1: calculated density 10245 kg/m³. Number 2: calculated density 10159 kg/m³. Number 3: calculated density 8380 kg/m³. Number 4: calculated density 11649 kg/m³. Number 5: calculated density 13682 kg/m³. Number 6: calculated density 13805 kg/m³.